Mg2AlCoF | GGA+U | relaxed

Properties
**Final energy**: -2.7717 eV/atom
**Total magnetic moment**: 0.28 μB/atom

The structure in CIF format:
```
data_Mg2AlCoF
_chemical_formula_sum 'Mg2 Al1 Co1 F1'
_symmetry_space_group_name_H-M 'P 4/m m m'
_symmetry_Int_Tables_number 123
_symmetry_space_group_name_Hall '-P 4 2'
_cell_length_a 5.181
_cell_length_b 5.181
_cell_length_c 3.630
_cell_angle_alpha 90.00
_cell_angle_beta 90.00
_cell_angle_gamma 90.00
loop_
_atom_site_label
_atom_site_type_symbol
_atom_site_fract_x
_atom_site_fract_y
_atom_site_fract_z
Mg1 Mg 0.000 0.500 0.000
Al1 Al 0.000 0.000 0.500
Co1 Co 0.500 0.500 0.000
F1 F 0.500 0.500 0.500
```